1.
First-principles (PBE-GGA) data for a relaxed LaNd2Pd9 crystal, as listed in Alexandria via LeMat-Bulk.

Lattice parameters (Å, degrees): 4.215 4.215 12.629 90.00 90.00 90.00
Sites, in units of the cell vectors:
La: 0.000 0.000 0.000
Nd: 0.000 0.000 0.335
Nd: 0.000 0.000 0.665
Pd: 0.000 0.500 0.168
Pd: 0.000 0.500 0.500
Pd: 0.000 0.500 0.832
Pd: 0.500 0.000 0.168
Pd: 0.500 0.000 0.500
Pd: 0.500 0.000 0.832
Pd: 0.500 0.500 0.000
Pd: 0.500 0.500 0.334
Pd: 0.500 0.500 0.666

**Energy**: -5.872 eV per atom
**D(E_F)**: 7.8 states/eV per cell
**SG**: P4/mmm, No. 123
**ΔE_f**: -772 meV per atom



2.
First-principles (PBE-GGA) data for a relaxed La3NdPd crystal, as listed in Alexandria via LeMat-Bulk.

Lattice parameters (Å, degrees): 8.048 7.007 6.326 90.00 90.00 90.00
Sites, in units of the cell vectors:
La: 0.000 0.148 0.000
La: 0.246 0.696 0.007
La: 0.254 0.304 0.507
La: 0.500 0.852 0.500
La: 0.746 0.304 0.507
La: 0.754 0.696 0.007
Nd: 0.000 0.855 0.519
Nd: 0.500 0.145 0.019
Pd: 0.000 0.501 0.265
Pd: 0.500 0.499 0.765

**Distance to the lowest polymorph of the same formula**: 75 meV per atom
**Energy**: -5.141 eV per atom
**D(E_F)**: 14.3 states/eV per cell
**SG**: Pmn2_1, No. 31
**ΔE_f**: -193 meV per atom



3.
First-principles (PBE-GGA) data for a relaxed LaNd6Pd3 crystal, as listed in Alexandria via LeMat-Bulk.

Lattice parameters (Å, degrees): 9.041 9.041 7.411 90.00 90.00 97.23
Sites, in units of the cell vectors:
La: 0.177 0.823 0.500
La: 0.823 0.177 0.000
Nd: 0.081 0.468 0.714
Nd: 0.130 0.216 0.370
Nd: 0.216 0.130 0.870
Nd: 0.267 0.733 0.019
Nd: 0.466 0.534 0.376
Nd: 0.468 0.081 0.214
Nd: 0.532 0.919 0.714
Nd: 0.534 0.466 0.876
Nd: 0.733 0.267 0.519
Nd: 0.784 0.870 0.370
Nd: 0.870 0.784 0.870
Nd: 0.919 0.532 0.214
Pd: 0.068 0.932 0.166
Pd: 0.221 0.413 0.080
Pd: 0.413 0.221 0.580
Pd: 0.587 0.779 0.080
Pd: 0.779 0.587 0.580
Pd: 0.932 0.068 0.666

**Energy**: -5.342 eV per atom
**D(E_F)**: 22.7 states/eV per cell
**SG**: Cmc2_1, No. 36
**ΔE_f**: -431 meV per atom



4.
First-principles (PBE-GGA) data for a relaxed La6NdPd2 crystal, as listed in Alexandria via LeMat-Bulk.

Lattice parameters (Å, degrees): 6.490 6.490 9.539 90.41 90.41 45.27
Sites, in units of the cell vectors:
La: 0.090 0.090 0.360
La: 0.294 0.294 0.890
La: 0.391 0.391 0.313
La: 0.609 0.609 0.687
La: 0.706 0.706 0.110
La: 0.910 0.910 0.640
Nd: 0.000 0.000 0.000
Pd: 0.252 0.252 0.594
Pd: 0.748 0.748 0.406

**Energy**: -5.252 eV per atom
**D(E_F)**: 11.2 states/eV per cell
**SG**: C2/m, No. 12
**ΔE_f**: -283 meV per atom



Which formula does entry 3 have? LaNd6Pd3



What did the second record say?
First-principles (PBE-GGA) data for a relaxed La3NdPd crystal, as listed in Alexandria via LeMat-Bulk.

Lattice parameters (Å, degrees): 8.048 7.007 6.326 90.00 90.00 90.00
Sites, in units of the cell vectors:
La: 0.000 0.148 0.000
La: 0.246 0.696 0.007
La: 0.254 0.304 0.507
La: 0.500 0.852 0.500
La: 0.746 0.304 0.507
La: 0.754 0.696 0.007
Nd: 0.000 0.855 0.519
Nd: 0.500 0.145 0.019
Pd: 0.000 0.501 0.265
Pd: 0.500 0.499 0.765

**Distance to the lowest polymorph of the same formula**: 75 meV per atom
**Energy**: -5.141 eV per atom
**D(E_F)**: 14.3 states/eV per cell
**SG**: Pmn2_1, No. 31
**ΔE_f**: -193 meV per atom



Which of these has the highest D(E_F)? LaNd6Pd3



D(E_F) of number 4 (La6NdPd2)? 11.2 states/eV per cell